No. 1
Material: ReNiW2
Method: DFT, GGA-PBE
State: optimized geometry

Values from the calculation:
The raw total energy is -163.19 eV/cell. The energy relative to the elements comes out at 0.8346 eV/atom. Its magnetic moment is 0.0 μB/f.u. For the polymorph energy (0 for the lowest one), the calculation gives 75.11 kJ per mole of atoms.

abc: 6.9120 6.9120 5.3232
angles: 90.00 90.00 90.00
With the nearest neighbours (Å) after each atom.
Space group I-42d (No. 122)
Inequivalent atoms, fractional coordinates:
Re (0.0000, 0.0000, 0.0000) x4  4 W 2.57, 2 Ni 2.66
Ni (0.0000, 0.0000, 0.5000) x4  4 W 2.50, 2 Re 2.66
W (0.2432, 0.7500, 0.6250) x8  2 Ni 2.50, 2 Re 2.57, 2 W 2.66

No. 2
Material: Ta2Be2NbFe5
Method: DFT, GGA-PBE
State: optimized geometry

Values from the calculation:
The raw total energy is -171.49 eV/cell. The energy relative to the elements comes out at -0.2204 eV/atom. Its magnetic moment is 0.0 μB/f.u.

abc: 8.8188 8.8188 3.0642
angles: 90.00 90.00 90.00
With the nearest neighbours (Å) after each atom.
Space group P4/mbm (No. 127)
Inequivalent atoms, fractional coordinates:
Ta (0.1743, 0.3257, 0.0000) x4  3 Be 2.56-2.64, 10 Fe 2.66-2.82
Be (0.1201, 0.6201, 0.0000) x4  6 Fe 2.14-2.16
Nb (0.0000, 0.0000, 0.0000) x2  8 Fe 2.52
Fe (0.0000, 0.5000, 0.5000) x2  4 Be 2.14
Fe (0.0699, 0.7847, 0.5000) x8  2 Be 2.16

No. 3
Material: Pr2GaHg2
Method: DFT, GGA-PBE
State: optimized geometry

Values from the calculation:
The raw total energy is -62.22 eV/cell. The energy relative to the elements comes out at -0.4731 eV/atom. Its magnetic moment is 0.0 μB/f.u. For the polymorph energy (0 for the lowest one), the calculation gives 0.00 kJ per mole of atoms.

abc: 11.4136 4.6024 11.4594
angles: 90.00 116.85 90.00
With the nearest neighbours (Å) after each atom.
Space group C2/m (No. 12)
Inequivalent atoms, fractional coordinates:
Pr (0.0118, 0.0000, 0.3389) x4  7 Hg 3.24-3.48, 3 Ga 3.32
Pr (0.1871, 0.0000, 0.1086) x4  6 Hg 3.15-3.44, 2 Ga 3.32
Ga (0.2164, 0.5000, 0.3288) x4  4 Hg 2.74-3.04
Hg (0.0336, 0.5000, 0.8845) x4  1 Ga 2.80, 1 Hg 3.07
Hg (0.1513, 0.5000, 0.5581) x4  3 Ga 2.74-3.04

No. 4
Material: CeNdI4
Method: DFT, GGA-PBE
State: optimized geometry

Values from the calculation:
The raw total energy is -47.94 eV/cell. The formation energy without anion corrections comes out at -113.7 kJ/mol of atoms. Its magnetic moment is 1.6 μB/f.u. For the polymorph energy (0 for the lowest one), the calculation gives 0.00 kJ per mole of atoms.

abc: 6.3192 6.3192 12.2611
angles: 90.00 90.00 90.00
With the nearest neighbours (Å) after each atom.
Space group I-4m2 (No. 119)
Inequivalent atoms, fractional coordinates:
Ce (0.0000, 0.0000, 0.0000) x2  6 I 3.16-3.23
Nd (0.0000, 0.5000, 0.2500) x2  6 I 3.16-3.21
I (0.0000, 0.0000, 0.2631) x4  2 Nd 3.16, 1 Ce 3.23
I (0.0000, 0.5000, 0.5115) x4  2 Ce 3.16, 1 Nd 3.21